The following is a PBE calculation of crystalline ZnCu2Re at its relaxed geometry, from Alexandria via LeMat-Bulk.

The structure in POSCAR format:
```
ZnCu2Re
1.0
5.8384 0.1741 0.5988
-2.4896 4.0627 -0.2585
0.8592 0.6689 2.3006
Re Cu Zn
1 2 1
Cartesian
-0.8152 2.3658 1.0210
3.3488 0.4215 1.4497
0.0000 0.0000 0.0000
1.6744 2.1184 0.1701
```

Computed properties:
Its crystal system is orthorhombic. The calculation puts the magnetic moment at 0.0000 μB/atom. As for the calculated formation energy: 0.190 eV/atom. Its electronic total energy is -21.15 eV per cell. Its space group is No. 65. The relative energy among the computed polymorphs comes out at 0.242 eV/f.u.